A plane-wave DFT calculation with PBE was carried out for a relaxed structure of GaH2Au.

Summary:
* raw total energy: -2.527 eV per atom
* energy above the most stable polymorph in this dataset: 0.425 eV per atom
* spin magnetization: 0.000 μB per cell

The structure in CIF format:
```
data_GaH2Au
_chemical_formula_sum 'Ga4 H8 Au4'
_cell_length_a 5.665
_cell_length_b 5.665
_cell_length_c 5.665
_cell_angle_alpha 90.00
_cell_angle_beta 90.00
_cell_angle_gamma 90.00
_symmetry_space_group_name_H-M 'F m -3 m'
_symmetry_Int_Tables_number 225
_symmetry_space_group_name_Hall '-F 4 2 3'
loop_
_atom_site_label
_atom_site_type_symbol
_atom_site_fract_x
_atom_site_fract_y
_atom_site_fract_z
Ga1 Ga 0.000 0.000 0.000
H1 H 0.250 0.250 0.250
Au1 Au 0.000 0.000 0.500
```


A plane-wave DFT calculation with PBE was carried out for a relaxed structure of Ga2HgHAu.

Summary:
* raw total energy: -2.490 eV per atom
* spin magnetization: 0.000 μB per cell

The structure in CIF format:
```
data_Ga2HgHAu
_chemical_formula_sum 'Ga2 Hg1 H1 Au1'
_cell_length_a 5.244
_cell_length_b 5.244
_cell_length_c 3.530
_cell_angle_alpha 90.00
_cell_angle_beta 90.00
_cell_angle_gamma 90.00
_symmetry_space_group_name_H-M 'P 4/m m m'
_symmetry_Int_Tables_number 123
_symmetry_space_group_name_Hall '-P 4 2'
loop_
_atom_site_label
_atom_site_type_symbol
_atom_site_fract_x
_atom_site_fract_y
_atom_site_fract_z
Ga1 Ga 0.000 0.500 0.000
Hg1 Hg 0.000 0.000 0.500
H1 H 0.500 0.500 0.500
Au1 Au 0.500 0.500 0.000
```


A plane-wave DFT calculation with PBE was carried out for a relaxed structure of La2GaHAu.

Summary:
* raw total energy: -4.436 eV per atom
* spin magnetization: 0.194 μB per cell

The structure in CIF format:
```
data_La2GaHAu
_chemical_formula_sum 'La2 Ga1 H1 Au1'
_cell_length_a 5.142
_cell_length_b 5.142
_cell_length_c 4.158
_cell_angle_alpha 90.00
_cell_angle_beta 90.00
_cell_angle_gamma 90.00
_symmetry_space_group_name_H-M 'P 4/m m m'
_symmetry_Int_Tables_number 123
_symmetry_space_group_name_Hall '-P 4 2'
loop_
_atom_site_label
_atom_site_type_symbol
_atom_site_fract_x
_atom_site_fract_y
_atom_site_fract_z
La1 La 0.000 0.500 0.000
Ga1 Ga 0.000 0.000 0.500
H1 H 0.500 0.500 0.000
Au1 Au 0.500 0.500 0.500
```


A plane-wave DFT calculation with PBE was carried out for a relaxed structure of LiGaH2Au.

Summary:
* raw total energy: -2.770 eV per atom
* spin magnetization: 0.000 μB per cell

The structure in CIF format:
```
data_LiGaH2Au
_chemical_formula_sum 'Li1 Ga1 H2 Au1'
_cell_length_a 3.517
_cell_length_b 3.517
_cell_length_c 6.030
_cell_angle_alpha 90.00
_cell_angle_beta 90.00
_cell_angle_gamma 90.00
_symmetry_space_group_name_H-M 'P 4/m m m'
_symmetry_Int_Tables_number 123
_symmetry_space_group_name_Hall '-P 4 2'
loop_
_atom_site_label
_atom_site_type_symbol
_atom_site_fract_x
_atom_site_fract_y
_atom_site_fract_z
Li1 Li 0.000 0.000 0.000
Ga1 Ga 0.000 0.000 0.500
H1 H 0.000 0.500 0.500
Au1 Au 0.500 0.500 0.000
```


A plane-wave DFT calculation with PBE was carried out for a relaxed structure of LiGaHAu2.

Summary:
* raw total energy: -3.093 eV per atom
* spin magnetization: 0.000 μB per cell

The structure in CIF format:
```
data_LiGaHAu2
_chemical_formula_sum 'Li1 Ga1 H1 Au2'
_cell_length_a 4.256
_cell_length_b 4.256
_cell_length_c 3.800
_cell_angle_alpha 90.00
_cell_angle_beta 90.00
_cell_angle_gamma 90.00
_symmetry_space_group_name_H-M 'P 4/m m m'
_symmetry_Int_Tables_number 123
_symmetry_space_group_name_Hall '-P 4 2'
loop_
_atom_site_label
_atom_site_type_symbol
_atom_site_fract_x
_atom_site_fract_y
_atom_site_fract_z
Li1 Li 0.000 0.000 0.000
Ga1 Ga 0.500 0.500 0.000
H1 H 0.000 0.000 0.500
Au1 Au 0.000 0.500 0.500
```


A plane-wave DFT calculation with PBE was carried out for a relaxed structure of Mg2GaHAu.

Summary:
* raw total energy: -2.752 eV per atom
* spin magnetization: 0.000 μB per cell

The structure in CIF format:
```
data_Mg2GaHAu
_chemical_formula_sum 'Mg2 Ga1 H1 Au1'
_cell_length_a 4.435
_cell_length_b 4.435
_cell_length_c 3.848
_cell_angle_alpha 90.00
_cell_angle_beta 90.00
_cell_angle_gamma 90.00
_symmetry_space_group_name_H-M 'P 4/m m m'
_symmetry_Int_Tables_number 123
_symmetry_space_group_name_Hall '-P 4 2'
loop_
_atom_site_label
_atom_site_type_symbol
_atom_site_fract_x
_atom_site_fract_y
_atom_site_fract_z
Mg1 Mg 0.000 0.500 0.000
Ga1 Ga 0.000 0.000 0.500
H1 H 0.000 0.000 0.000
Au1 Au 0.500 0.500 0.500
```


A plane-wave DFT calculation with PBE was carried out for a relaxed structure of Mn2GaHAu.

Summary:
* raw total energy: -5.559 eV per atom
* spin magnetization: 5.601 μB per cell

The structure in CIF format:
```
data_Mn2GaHAu
_chemical_formula_sum 'Mn2 Ga1 H1 Au1'
_cell_length_a 3.862
_cell_length_b 3.862
_cell_length_c 4.077
_cell_angle_alpha 90.00
_cell_angle_beta 90.00
_cell_angle_gamma 90.00
_symmetry_space_group_name_H-M 'P 4/m m m'
_symmetry_Int_Tables_number 123
_symmetry_space_group_name_Hall '-P 4 2'
loop_
_atom_site_label
_atom_site_type_symbol
_atom_site_fract_x
_atom_site_fract_y
_atom_site_fract_z
Mn1 Mn 0.000 0.500 0.000
Ga1 Ga 0.000 0.000 0.500
H1 H 0.500 0.500 0.000
Au1 Au 0.500 0.500 0.500
```


A plane-wave DFT calculation with PBE was carried out for a relaxed structure of Na2GaHAu.

Summary:
* raw total energy: -2.542 eV per atom
* spin magnetization: 0.000 μB per cell

The structure in CIF format:
```
data_Na2GaHAu
_chemical_formula_sum 'Na2 Ga1 H1 Au1'
_cell_length_a 4.416
_cell_length_b 4.416
_cell_length_c 4.448
_cell_angle_alpha 90.00
_cell_angle_beta 90.00
_cell_angle_gamma 90.00
_symmetry_space_group_name_H-M 'P 4/m m m'
_symmetry_Int_Tables_number 123
_symmetry_space_group_name_Hall '-P 4 2'
loop_
_atom_site_label
_atom_site_type_symbol
_atom_site_fract_x
_atom_site_fract_y
_atom_site_fract_z
Na1 Na 0.000 0.500 0.000
Ga1 Ga 0.000 0.000 0.500
H1 H 0.000 0.000 0.000
Au1 Au 0.500 0.500 0.500
```